Here is a geometry-optimized CoTcRu2O structure from Alexandria. Energies are from PBE+U.

abc: 4.0370 4.0370 3.9560
angles: 90.00 90.00 90.00
Fractional positions:
Co (0.0000, 0.0000, 0.0000)
Tc (0.5000, 0.5000, 0.0000)
Ru (0.0000, 0.5000, 0.5000)
Ru (0.5000, 0.0000, 0.5000)
O (0.0000, 0.0000, 0.5000)

## Properties
Magnetic moment, μB/cell: 4.31
Space group: P4/mmm, No. 123
Volume, Å³/atom: 12.89
Energy, eV/cell: -36.8